a) Computed, not measured: a crystal of HfP2RhCl relaxed with PBEsol at the meta-GGA SCAN level of DFT.

The structure belongs to space group P4/mmm (No. 123); the cell edges are 4.922, 4.922 and 4.693 Å and the angles 90.00°, 90.00° and 90.00°. The asymmetric unit holds Hf at (0.000, 0.000, 0.000), P at (0.000, 0.500, 0.000), Rh at (0.500, 0.500, 0.500) and Cl at (0.000, 0.000, 0.500).

b) Computed, not measured: a crystal of HfP2RhCl relaxed with PBEsol at the meta-GGA SCAN level of DFT.

The structure belongs to space group P4/mmm (No. 123); the cell edges are 4.545, 4.545 and 4.509 Å and the angles 90.00°, 90.00° and 90.00°. The asymmetric unit holds Hf at (0.000, 0.000, 0.000), P at (0.000, 0.500, 0.500), Rh at (0.500, 0.500, 0.500) and Cl at (0.500, 0.500, 0.000).

It turns out b) is the most stable, with the second structure 0.083 eV/atom higher.

a) Computed, not measured: a crystal of HfSbCl2 relaxed with PBEsol at the meta-GGA SCAN level of DFT.

The structure belongs to space group R-3m (No. 166, hexagonal axes); the cell edges are 3.2967, 3.2967 and 35.6772 Å and the angles 90.00°, 90.00° and 120.00°. The asymmetric unit holds Hf at (0.0000, 0.0000, 0.0000), Sb at (0.0000, 0.0000, 0.5000) and Cl at (0.0000, 0.0000, 0.0646).

b) Computed, not measured: a crystal of HfSbCl2 relaxed with PBEsol at the meta-GGA SCAN level of DFT.

The structure belongs to space group Fm-3m (No. 225); the cell edges are 6.759, 6.759 and 6.759 Å and the angles 90.00°, 90.00° and 90.00°. The asymmetric unit holds Hf at (0.000, 0.000, 0.000), Sb at (0.000, 0.000, 0.500) and Cl at (0.250, 0.250, 0.250).

c) Computed, not measured: a crystal of HfSbCl2 relaxed with PBEsol at the meta-GGA SCAN level of DFT.

The structure belongs to space group I-42d (No. 122); the cell edges are 4.348, 4.348 and 18.337 Å and the angles 90.00°, 90.00° and 90.00°. The asymmetric unit holds Hf at (0.000, 0.000, 0.000), Sb at (0.000, 0.000, 0.500) and Cl at (0.219, 0.250, 0.125).

It turns out a) is the most stable, with the second structure 0.085 eV/atom higher.

a) Computed, not measured: a crystal of YHf3Cl relaxed with PBEsol at the meta-GGA SCAN level of DFT.

The structure belongs to space group Pm-3m (No. 221); the cell edges are 5.185, 5.185 and 5.185 Å and the angles 90.00°, 90.00° and 90.00°. The asymmetric unit holds Y at (0.000, 0.000, 0.000), Hf at (0.000, 0.000, 0.500) and Cl at (0.500, 0.500, 0.500).

b) Computed, not measured: a crystal of YHf3Cl relaxed with PBEsol at the meta-GGA SCAN level of DFT.

The structure belongs to space group Pm-3m (No. 221); the cell edges are 4.807, 4.807 and 4.807 Å and the angles 90.00°, 90.00° and 90.00°. The asymmetric unit holds Y at (0.000, 0.000, 0.000), Hf at (0.000, 0.500, 0.500) and Cl at (0.500, 0.500, 0.500).

It turns out b) is the most stable, with the second structure 1.771 eV/atom higher.

a) Computed, not measured: a crystal of Hg2Cl relaxed with PBEsol at the meta-GGA SCAN level of DFT.

The structure belongs to space group I4/mmm (No. 139); the cell edges are 3.505, 3.505 and 11.027 Å and the angles 90.00°, 90.00° and 90.00°. The asymmetric unit holds Hg at (0.000, 0.000, 0.172) and Cl at (0.000, 0.000, 0.500).

b) Computed, not measured: a crystal of Hg2Cl relaxed with PBEsol at the meta-GGA SCAN level of DFT.

The structure belongs to space group Cmcm (No. 63); the cell edges are 3.581, 22.053 and 3.755 Å and the angles 90.00°, 90.00° and 90.00°. The asymmetric unit holds Hg at (0.000, 0.048, 0.250), Hg at (0.000, 0.280, 0.750) and Cl at (0.000, 0.382, 0.250).

c) Computed, not measured: a crystal of Hg2Cl relaxed with PBEsol at the meta-GGA SCAN level of DFT.

The structure belongs to space group C2/m (No. 12); the cell edges are 11.189, 4.270 and 7.565 Å and the angles 90.00°, 121.29° and 90.00°. The asymmetric unit holds Hg at (0.079, 0.000, 0.415), Hg at (0.232, 0.000, 0.235) and Cl at (0.101, 0.500, 0.904).

It turns out c) is the most stable, with the second structure 0.136 eV/atom higher.